Sn12Ge5Sb3 | PBE | relaxed

Values from the calculation:
- space group = Ia-3d
- uncorrected formation energy (eV per atom) = 0.232

Cell: 14.8776 14.8776 14.8776 Å, 109.47 109.47 109.47°
Fractional coordinates of all 80 atoms:
Sn1 0.0509 0.2191 0.1386
Sn2 0.0509 0.3317 0.9123
Sn3 0.0806 0.7191 0.6683
Sn4 0.0806 0.8614 0.4123
Sn5 0.0877 0.6386 0.4194
Sn6 0.0877 0.9491 0.6683
Sn7 0.1386 0.0509 0.2191
Sn8 0.1386 0.5877 0.9194
Sn9 0.1683 0.2191 0.5806
Sn10 0.1683 0.4491 0.5877
Sn11 0.2191 0.1386 0.0509
Sn12 0.2191 0.5806 0.1683
Sn13 0.2809 0.3317 0.9194
Sn14 0.2809 0.4491 0.3614
Sn15 0.3317 0.9123 0.0509
Sn16 0.3317 0.9194 0.2809
Sn17 0.3614 0.2809 0.4491
Sn18 0.3614 0.5806 0.9123
Sn19 0.4123 0.0806 0.8614
Sn20 0.4123 0.8317 0.5509
Sn21 0.4194 0.0877 0.6386
Sn22 0.4194 0.8317 0.7809
Sn23 0.4491 0.3614 0.2809
Sn24 0.4491 0.5877 0.1683
Sn25 0.5509 0.4123 0.8317
Sn26 0.5509 0.6386 0.7191
Sn27 0.5806 0.1683 0.2191
Sn28 0.5806 0.9123 0.3614
Sn29 0.5877 0.1683 0.4491
Sn30 0.5877 0.9194 0.1386
Sn31 0.6386 0.4194 0.0877
Sn32 0.6386 0.7191 0.5509
Sn33 0.6683 0.0806 0.7191
Sn34 0.6683 0.0877 0.9491
Sn35 0.7191 0.5509 0.6386
Sn36 0.7191 0.6683 0.0806
Sn37 0.7809 0.4194 0.8317
Sn38 0.7809 0.8614 0.9491
Sn39 0.8317 0.5509 0.4123
Sn40 0.8317 0.7809 0.4194
Sn41 0.8614 0.4123 0.0806
Sn42 0.8614 0.9491 0.7809
Sn43 0.9123 0.0509 0.3317
Sn44 0.9123 0.3614 0.5806
Sn45 0.9194 0.1386 0.5877
Sn46 0.9194 0.2809 0.3317
Sn47 0.9491 0.6683 0.0877
Sn48 0.9491 0.7809 0.8614
Ge1 0.0000 0.0000 0.0000
Ge2 0.0000 0.0000 0.5000
Ge3 0.0000 0.5000 0.0000
Ge4 0.0000 0.5000 0.5000
Ge5 0.1250 0.7500 0.8750
Ge6 0.1250 0.8750 0.2500
Ge7 0.2500 0.1250 0.8750
Ge8 0.2500 0.6250 0.3750
Ge9 0.3750 0.2500 0.6250
Ge10 0.3750 0.6250 0.7500
Ge11 0.5000 0.0000 0.0000
Ge12 0.5000 0.0000 0.5000
Ge13 0.5000 0.5000 0.0000
Ge14 0.5000 0.5000 0.5000
Ge15 0.6250 0.3750 0.2500
Ge16 0.6250 0.7500 0.3750
Ge17 0.7500 0.3750 0.6250
Ge18 0.7500 0.8750 0.1250
Ge19 0.8750 0.1250 0.7500
Ge20 0.8750 0.2500 0.1250
Sb1 0.1250 0.2500 0.3750
Sb2 0.1250 0.3750 0.7500
Sb3 0.2500 0.3750 0.1250
Sb4 0.2500 0.8750 0.6250
Sb5 0.3750 0.1250 0.2500
Sb6 0.3750 0.7500 0.1250
Sb7 0.6250 0.2500 0.8750
Sb8 0.6250 0.8750 0.7500
Sb9 0.7500 0.1250 0.3750
Sb10 0.7500 0.6250 0.8750
Sb11 0.8750 0.6250 0.2500
Sb12 0.8750 0.7500 0.6250